Computed, not measured: Tb3Pd4 at its PBEsol-relaxed geometry at the meta-GGA SCAN level of DFT.

Cell lengths 13.0627, 13.0627, 5.6623 Å; angles 90.00, 90.00, 120.00 degrees
Last column: nearest neighbours and their distance in Å.
Space group R-3 (No. 148, hexagonal axes)
Symmetry-distinct sites (fractional):
Tb (0.0417, 0.8309, 0.2361) (multiplicity 18)  8 Pd 2.83-3.11
Pd (0.0000, 0.0000, 0.0000) (multiplicity 3)  2 Pd 2.83, 6 Tb 2.86
Pd (0.0000, 0.0000, 0.5000) (multiplicity 3)  2 Pd 2.83, 6 Tb 2.93
Pd (0.0529, 0.7825, 0.7213) (multiplicity 18)  6 Tb 2.83-3.11, 3 Pd 2.87-2.95

Properties
Total energy, eV per atom: -39.77